The following is a DFT calculation (PBEsol) of an optimized crystal structure of Cs2KTbCl6.

Cell: 7.852 7.852 7.852 Å, 60.00 60.00 60.00°
Fractional coordinates of all 10 atoms:
Cs 0.250 0.250 0.250
Cs 0.750 0.750 0.750
K 0.000 0.000 0.000
Tb 0.500 0.500 0.500
Cl 0.265 0.265 0.735
Cl 0.265 0.735 0.265
Cl 0.265 0.735 0.735
Cl 0.735 0.265 0.265
Cl 0.735 0.265 0.735
Cl 0.735 0.735 0.265

- Space group: Fm-3m (225)
- Fermi-level density of states: 0.0 states/eV/f.u.
- Total energy: -41.49 eV for the cell shown
- Formation energy from raw total energies: -21.41 eV/f.u.


The following is a DFT calculation (PBEsol) of an optimized crystal structure of Cs2KTlCl6.

Cell: 7.773 7.773 7.773 Å, 60.00 60.00 60.00°
Fractional coordinates of all 10 atoms:
Cs 0.250 0.250 0.250
Cs 0.750 0.750 0.750
K 0.000 0.000 0.000
Tl 0.500 0.500 0.500
Cl 0.266 0.266 0.734
Cl 0.266 0.734 0.266
Cl 0.266 0.734 0.734
Cl 0.734 0.266 0.266
Cl 0.734 0.266 0.734
Cl 0.734 0.734 0.266

- Space group: Fm-3m (225)
- Fermi-level density of states: 0.0 states/eV/f.u.
- Total energy: -32.62 eV for the cell shown
- Formation energy from raw total energies: -14.92 eV/f.u.


The following is a DFT calculation (PBEsol) of an optimized crystal structure of Cs2LaCl5.

Cell: 13.668 9.090 8.474 Å, 90.00 90.00 90.00°
Fractional coordinates of all 32 atoms:
Cs 0.171 0.005 0.057
Cs 0.171 0.495 0.057
Cs 0.329 0.505 0.557
Cs 0.329 0.995 0.557
Cs 0.671 0.005 0.443
Cs 0.671 0.495 0.443
Cs 0.829 0.505 0.943
Cs 0.829 0.995 0.943
La 0.005 0.250 0.566
La 0.495 0.750 0.066
La 0.505 0.250 0.934
La 0.995 0.750 0.434
Cl 0.013 0.250 0.895
Cl 0.070 0.541 0.659
Cl 0.070 0.959 0.659
Cl 0.174 0.250 0.384
Cl 0.193 0.750 0.352
Cl 0.307 0.250 0.852
Cl 0.326 0.750 0.884
Cl 0.430 0.041 0.159
Cl 0.430 0.459 0.159
Cl 0.487 0.750 0.395
Cl 0.513 0.250 0.605
Cl 0.570 0.541 0.841
Cl 0.570 0.959 0.841
Cl 0.674 0.250 0.116
Cl 0.693 0.750 0.148
Cl 0.807 0.250 0.648
Cl 0.826 0.750 0.616
Cl 0.930 0.041 0.341
Cl 0.930 0.459 0.341
Cl 0.987 0.750 0.105

- Space group: Pnma (62)
- Fermi-level density of states: 0.0 states/eV/f.u.
- Total energy: -140.79 eV for the cell shown
- Formation energy from raw total energies: -17.93 eV/f.u.


The following is a DFT calculation (PBEsol) of an optimized crystal structure of Cs3LaCl6.

Cell: 8.418 8.418 8.418 Å, 60.00 60.00 60.00°
Fractional coordinates of all 10 atoms:
Cs 0.000 0.000 0.000
Cs 0.250 0.250 0.250
Cs 0.750 0.750 0.750
La 0.500 0.500 0.500
Cl 0.270 0.270 0.730
Cl 0.270 0.730 0.270
Cl 0.270 0.730 0.730
Cl 0.730 0.270 0.270
Cl 0.730 0.270 0.730
Cl 0.730 0.730 0.270

- Space group: Fm-3m (225)
- Fermi-level density of states: 0.0 states/eV/f.u.
- Total energy: -41.19 eV for the cell shown
- Formation energy from raw total energies: -20.97 eV/f.u.


The following is a DFT calculation (PBEsol) of an optimized crystal structure of Cs2LiLaCl6.

Cell: 7.485 7.485 7.485 Å, 60.00 60.00 60.00°
Fractional coordinates of all 10 atoms:
Cs 0.250 0.250 0.250
Cs 0.750 0.750 0.750
Li 0.000 0.000 0.000
La 0.500 0.500 0.500
Cl 0.241 0.241 0.759
Cl 0.241 0.759 0.241
Cl 0.241 0.759 0.759
Cl 0.759 0.241 0.241
Cl 0.759 0.241 0.759
Cl 0.759 0.759 0.241

- Space group: Fm-3m (225)
- Fermi-level density of states: 0.0 states/eV/f.u.
- Total energy: -42.64 eV for the cell shown
- Formation energy from raw total energies: -21.39 eV/f.u.


The following is a DFT calculation (PBEsol) of an optimized crystal structure of CsLaP2Cl.

Cell: 5.474 5.474 5.698 Å, 90.00 90.00 90.00°
Fractional coordinates of all 5 atoms:
Cs 0.000 0.000 0.000
La 0.500 0.500 0.500
P 0.000 0.500 0.500
P 0.500 0.000 0.500
Cl 0.500 0.500 0.000

- Space group: P4/mmm (123)
- Fermi-level density of states: 6.2 states/eV/f.u.
- Total energy: -22.61 eV for the cell shown
- Formation energy from raw total energies: -2.73 eV/f.u.


Q: What is the formation energy from raw total energies in the sixth record?
A: -2.73 eV/f.u.